{"formula": "Cd12Sb5Pb3", "functional": "GGA-PBE", "state": "relaxed", "density_g_cm3": 6.8, "raw_formation_energy_mev_per_atom": 79, "m_tot_mub_per_atom": 0.000, "e_tot_ev_per_cell": -164.5, "lattice": [[-8.573, 8.573, 8.573], [8.573, -8.573, 8.573], [8.573, 8.573, -8.573]], "species": ["Cd", "Cd", "Cd", "Cd", "Cd", "Cd", "Cd", "Cd", "Cd", "Cd", "Cd", "Cd", "Cd", "Cd", "Cd", "Cd", "Cd", "Cd", "Cd", "Cd", "Cd", "Cd", "Cd", "Cd", "Cd", "Cd", "Cd", "Cd", "Cd", "Cd", "Cd", "Cd", "Cd", "Cd", "Cd", "Cd", "Cd", "Cd", "Cd", "Cd", "Cd", "Cd", "Cd", "Cd", "Cd", "Cd", "Cd", "Cd", "Sb", "Sb", "Sb", "Sb", "Sb", "Sb", "Sb", "Sb", "Sb", "Sb", "Sb", "Sb", "Sb", "Sb", "Sb", "Sb", "Sb", "Sb", "Sb", "Sb", "Pb", "Pb", "Pb", "Pb", "Pb", "Pb", "Pb", "Pb", "Pb", "Pb", "Pb", "Pb"], "frac_coords": [[0.056, 0.229, 0.127], [0.056, 0.327, 0.929], [0.071, 0.627, 0.398], [0.071, 0.944, 0.673], [0.102, 0.729, 0.673], [0.102, 0.873, 0.429], [0.127, 0.056, 0.229], [0.127, 0.571, 0.898], [0.173, 0.229, 0.602], [0.173, 0.444, 0.571], [0.229, 0.127, 0.056], [0.229, 0.602, 0.173], [0.271, 0.327, 0.898], [0.271, 0.444, 0.373], [0.327, 0.898, 0.271], [0.327, 0.929, 0.056], [0.373, 0.271, 0.444], [0.373, 0.602, 0.929], [0.398, 0.071, 0.627], [0.398, 0.827, 0.771], [0.429, 0.102, 0.873], [0.429, 0.827, 0.556], [0.444, 0.373, 0.271], [0.444, 0.571, 0.173], [0.556, 0.429, 0.827], [0.556, 0.627, 0.729], [0.571, 0.173, 0.444], [0.571, 0.898, 0.127], [0.602, 0.173, 0.229], [0.602, 0.929, 0.373], [0.627, 0.398, 0.071], [0.627, 0.729, 0.556], [0.673, 0.071, 0.944], [0.673, 0.102, 0.729], [0.729, 0.556, 0.627], [0.729, 0.673, 0.102], [0.771, 0.398, 0.827], [0.771, 0.873, 0.944], [0.827, 0.556, 0.429], [0.827, 0.771, 0.398], [0.873, 0.429, 0.102], [0.873, 0.944, 0.771], [0.898, 0.127, 0.571], [0.898, 0.271, 0.327], [0.929, 0.056, 0.327], [0.929, 0.373, 0.602], [0.944, 0.673, 0.071], [0.944, 0.771, 0.873], [0.000, 0.000, 0.000], [0.000, 0.000, 0.500], [0.000, 0.500, 0.000], [0.000, 0.500, 0.500], [0.125, 0.750, 0.875], [0.125, 0.875, 0.250], [0.250, 0.125, 0.875], [0.250, 0.625, 0.375], [0.375, 0.250, 0.625], [0.375, 0.625, 0.750], [0.500, 0.000, 0.000], [0.500, 0.000, 0.500], [0.500, 0.500, 0.000], [0.500, 0.500, 0.500], [0.625, 0.375, 0.250], [0.625, 0.750, 0.375], [0.750, 0.375, 0.625], [0.750, 0.875, 0.125], [0.875, 0.125, 0.750], [0.875, 0.250, 0.125], [0.125, 0.250, 0.375], [0.125, 0.375, 0.750], [0.250, 0.375, 0.125], [0.250, 0.875, 0.625], [0.375, 0.125, 0.250], [0.375, 0.750, 0.125], [0.625, 0.250, 0.875], [0.625, 0.875, 0.750], [0.750, 0.125, 0.375], [0.750, 0.625, 0.875], [0.875, 0.625, 0.250], [0.875, 0.750, 0.625]]}

***

{"formula": "Cd2Sb2Pb", "functional": "GGA-PBE", "state": "relaxed", "density_g_cm3": 7.7, "raw_formation_energy_mev_per_atom": 150, "m_tot_mub_per_atom": 0.000, "e_tot_ev_per_cell": -13.0, "lattice": [[-2.370, 2.370, 6.509], [2.370, -2.370, 6.509], [2.370, 2.370, -6.509]], "species": ["Cd", "Cd", "Sb", "Sb", "Pb"], "frac_coords": [[0.104, 0.104, 0.000], [0.896, 0.896, 0.000], [0.250, 0.750, 0.500], [0.750, 0.250, 0.500], [0.500, 0.500, 0.000]]}

***

{"formula": "CdSb4Pb5", "functional": "GGA-PBE", "state": "relaxed", "density_g_cm3": 8.2, "raw_formation_energy_mev_per_atom": 46, "m_tot_mub_per_atom": 0.000, "e_tot_ev_per_cell": -35.5, "lattice": [[9.782, -2.269, 0.000], [9.782, 2.269, 0.000], [-1.546, 0.000, 7.421]], "species": ["Cd", "Sb", "Sb", "Sb", "Sb", "Pb", "Pb", "Pb", "Pb", "Pb"], "frac_coords": [[0.000, 0.000, 0.000], [0.138, 0.138, 0.316], [0.443, 0.443, 0.191], [0.557, 0.557, 0.809], [0.862, 0.862, 0.684], [0.000, 0.000, 0.500], [0.307, 0.307, 0.911], [0.317, 0.317, 0.399], [0.683, 0.683, 0.601], [0.693, 0.693, 0.089]]}

***

{"formula": "Cd2SbPb2", "functional": "GGA-PBE", "state": "relaxed", "density_g_cm3": 8.7, "raw_formation_energy_mev_per_atom": 129, "m_tot_mub_per_atom": 0.000, "e_tot_ev_per_cell": -25.5, "lattice": [[9.246, 0.000, 0.000], [0.000, 9.246, 0.000], [0.000, 0.000, 3.385]], "species": ["Cd", "Cd", "Cd", "Cd", "Sb", "Sb", "Pb", "Pb", "Pb", "Pb"], "frac_coords": [[0.113, 0.387, 0.000], [0.387, 0.887, 0.000], [0.613, 0.113, 0.000], [0.887, 0.613, 0.000], [0.000, 0.000, 0.500], [0.500, 0.500, 0.500], [0.189, 0.689, 0.500], [0.311, 0.189, 0.500], [0.689, 0.811, 0.500], [0.811, 0.311, 0.500]]}

***

{"formula": "CdSb2Pb2", "functional": "GGA-PBE", "state": "relaxed", "density_g_cm3": 8.1, "raw_formation_energy_mev_per_atom": 153, "m_tot_mub_per_atom": 0.000, "e_tot_ev_per_cell": -31.6, "lattice": [[8.826, 0.000, 0.000], [0.000, 8.826, 0.000], [0.000, 0.000, 4.032]], "species": ["Cd", "Cd", "Sb", "Sb", "Sb", "Sb", "Pb", "Pb", "Pb", "Pb"], "frac_coords": [[0.000, 0.000, 0.000], [0.500, 0.500, 0.000], [0.134, 0.366, 0.500], [0.366, 0.866, 0.500], [0.634, 0.134, 0.500], [0.866, 0.634, 0.500], [0.155, 0.655, 0.000], [0.345, 0.155, 0.000], [0.655, 0.845, 0.000], [0.845, 0.345, 0.000]]}

***

{"formula": "Cd2SbPb2", "functional": "GGA-PBE", "state": "relaxed", "density_g_cm3": 8.8, "raw_formation_energy_mev_per_atom": 76, "m_tot_mub_per_atom": 0.000, "e_tot_ev_per_cell": -26.0, "lattice": [[7.815, 0.000, 0.000], [0.000, 7.815, 0.000], [0.000, 0.000, 4.721]], "species": ["Cd", "Cd", "Cd", "Cd", "Sb", "Sb", "Pb", "Pb", "Pb", "Pb"], "frac_coords": [[0.131, 0.369, 0.000], [0.369, 0.869, 0.000], [0.631, 0.131, 0.000], [0.869, 0.631, 0.000], [0.000, 0.000, 0.000], [0.500, 0.500, 0.000], [0.172, 0.672, 0.500], [0.328, 0.172, 0.500], [0.672, 0.828, 0.500], [0.828, 0.328, 0.500]]}

***

{"formula": "CdSb2Pb", "functional": "GGA-PBE", "state": "relaxed", "density_g_cm3": 7.9, "raw_formation_energy_mev_per_atom": 86, "m_tot_mub_per_atom": 0.000, "e_tot_ev_per_cell": -12.5, "lattice": [[3.862, -2.195, 0.000], [3.862, 2.195, 0.000], [-2.521, 0.000, 7.006]], "species": ["Cd", "Sb", "Sb", "Pb"], "frac_coords": [[0.000, 0.000, 0.000], [0.258, 0.258, 0.773], [0.742, 0.742, 0.227], [0.500, 0.500, 0.500]]}

***

{"formula": "Cd2Sb2Pb", "functional": "GGA-PBE", "state": "relaxed", "density_g_cm3": 7.8, "raw_formation_energy_mev_per_atom": 60, "m_tot_mub_per_atom": 0.000, "e_tot_ev_per_cell": -13.5, "lattice": [[-2.200, 2.200, 7.463], [2.200, -2.200, 7.463], [2.200, 2.200, -7.463]], "species": ["Cd", "Cd", "Sb", "Sb", "Pb"], "frac_coords": [[0.250, 0.750, 0.500], [0.750, 0.250, 0.500], [0.111, 0.111, 0.000], [0.889, 0.889, 0.000], [0.500, 0.500, 0.000]]}

***

{"formula": "CdSbPb2", "functional": "GGA-PBE", "state": "relaxed", "density_g_cm3": 8.3, "raw_formation_energy_mev_per_atom": 100, "m_tot_mub_per_atom": 0.000, "e_tot_ev_per_cell": -12.1, "lattice": [[2.281, 1.317, 7.196], [-2.281, 1.317, 7.196], [0.000, -2.634, 7.196]], "species": ["Cd", "Sb", "Pb", "Pb"], "frac_coords": [[0.000, 0.000, 0.000], [0.833, 0.833, 0.833], [0.412, 0.412, 0.412], [0.583, 0.583, 0.583]]}

***

{"formula": "CdSbPb2", "functional": "GGA-PBE", "state": "relaxed", "density_g_cm3": 9.2, "raw_formation_energy_mev_per_atom": 67, "m_tot_mub_per_atom": 0.000, "e_tot_ev_per_cell": -12.2, "lattice": [[-2.556, 2.556, 4.477], [2.556, -2.556, 4.477], [2.556, 2.556, -4.477]], "species": ["Cd", "Sb", "Pb", "Pb"], "frac_coords": [[0.000, 0.000, 0.000], [0.500, 0.500, 0.000], [0.250, 0.750, 0.500], [0.750, 0.250, 0.500]]}

***

{"formula": "CdSbPb2", "functional": "GGA-PBE", "state": "relaxed", "density_g_cm3": 9.3, "raw_formation_energy_mev_per_atom": 108, "m_tot_mub_per_atom": 0.000, "e_tot_ev_per_cell": -12.0, "lattice": [[3.340, 0.000, 0.000], [0.000, 5.772, 0.000], [-0.295, 0.000, 6.021]], "species": ["Cd", "Sb", "Pb", "Pb"], "frac_coords": [[0.000, 0.000, 0.000], [0.500, 0.000, 0.500], [0.255, 0.500, 0.750], [0.745, 0.500, 0.250]]}

***

{"formula": "Cd2SbPb8", "functional": "GGA-PBE", "state": "relaxed", "density_g_cm3": 10.1, "raw_formation_energy_mev_per_atom": 37, "m_tot_mub_per_atom": 0.000, "e_tot_ev_per_cell": -35.2, "lattice": [[9.086, -2.352, 0.000], [9.086, 2.352, 0.000], [-2.297, 0.000, 7.719]], "species": ["Cd", "Cd", "Sb", "Pb", "Pb", "Pb", "Pb", "Pb", "Pb", "Pb", "Pb"], "frac_coords": [[0.229, 0.229, 0.130], [0.771, 0.771, 0.870], [0.500, 0.500, 0.500], [0.042, 0.042, 0.228], [0.140, 0.140, 0.686], [0.318, 0.318, 0.595], [0.399, 0.399, 0.034], [0.601, 0.601, 0.966], [0.682, 0.682, 0.405], [0.860, 0.860, 0.314], [0.958, 0.958, 0.772]]}